Record 1
DFT (meta-GGA SCAN) results for CdOsW at its PBEsol-relaxed geometry.

Results
* density of states at the Fermi level: 1.37 states/eV/f.u.
* V: 16.15 Å³/atom
* energy above the lowest structure with this stoichiometry: 0 meV per atom
* electronic total energy: -56.9915 eV per atom

Lattice parameters (Å, degrees): 2.813 2.813 7.068 90.00 90.00 120.00
Atoms (fractional coordinates):
Os (0.333, 0.667, 0.648)
Cd (0.000, 0.000, 0.996)
W (0.667, 0.333, 0.356)



Record 2
DFT (meta-GGA SCAN) results for CdOsW2 at its PBEsol-relaxed geometry.

Results
* density of states at the Fermi level: 2.53 states/eV/f.u.
* V: 16.00 Å³/atom
* electronic total energy: -59.8992 eV per atom

Lattice parameters (Å, degrees): 2.848 4.860 4.944 101.84 106.74 90.00
Atoms (fractional coordinates):
Os (0.735, 0.228, 0.471)
Cd (0.496, 0.498, 0.993)
W (0.007, 0.006, 0.014)
W (0.261, 0.767, 0.523)



Record 3
DFT (meta-GGA SCAN) results for CdOsW at its PBEsol-relaxed geometry.

Results
* density of states at the Fermi level: 2.87 states/eV/f.u.
* V: 18.44 Å³/atom
* energy above the lowest structure with this stoichiometry: 1651 meV per atom
* electronic total energy: -55.3404 eV per atom

Lattice parameters (Å, degrees): 4.277 4.277 4.277 60.00 60.00 60.00
Each line ends with the local moment (μB).
Atoms (fractional coordinates):
Os (0.000, 0.000, 0.000)  0.61
Cd (0.250, 0.250, 0.250)  0.00
W (0.500, 0.500, 0.500)  0.23



Record 4
DFT (meta-GGA SCAN) results for Cd2OsW at its PBEsol-relaxed geometry.

Results
* density of states at the Fermi level: 2.73 states/eV/f.u.
* V: 16.72 Å³/atom
* energy above the lowest structure with this stoichiometry: 277 meV per atom
* electronic total energy: -49.8990 eV per atom

Lattice parameters (Å, degrees): 2.737 5.132 5.531 115.19 100.11 98.92
Atoms (fractional coordinates):
Cd (0.000, 0.000, 0.500)
Cd (0.500, 0.500, 0.500)
W (0.000, 0.500, 0.000)
Os (0.500, 0.000, 0.000)



Record 5
DFT (meta-GGA SCAN) results for Cd2OsW at its PBEsol-relaxed geometry.

Results
* density of states at the Fermi level: 2.57 states/eV/f.u.
* V: 16.43 Å³/atom
* energy above the lowest structure with this stoichiometry: 740 meV per atom
* electronic total energy: -49.4356 eV per atom

Lattice parameters (Å, degrees): 4.529 4.529 4.529 60.00 60.00 60.00
Atoms (fractional coordinates):
Cd (0.750, 0.750, 0.750)
Cd (0.250, 0.250, 0.250)
W (0.500, 0.500, 0.500)
Os (0.000, 0.000, 0.000)



Record 6
DFT (meta-GGA SCAN) results for Cd2OsW at its PBEsol-relaxed geometry.

Results
* density of states at the Fermi level: 2.52 states/eV/f.u.
* V: 17.18 Å³/atom
* energy above the lowest structure with this stoichiometry: 0 meV per atom
* electronic total energy: -50.1756 eV per atom

Lattice parameters (Å, degrees): 2.779 2.779 9.835 90.00 90.00 115.24
Atoms (fractional coordinates):
Os (0.000, 0.000, 0.483)
Cd (0.000, 0.000, 0.011)
Cd (0.500, 0.500, 0.736)
W (0.500, 0.500, 0.270)



Record 7
DFT (meta-GGA SCAN) results for CdOs2W at its PBEsol-relaxed geometry.

Results
* density of states at the Fermi level: 2.99 states/eV/f.u.
* V: 15.66 Å³/atom
* electronic total energy: -60.6142 eV per atom

Lattice parameters (Å, degrees): 2.824 2.824 7.852 90.00 90.00 90.00
Atoms (fractional coordinates):
Os (0.000, 0.000, 0.770)
Os (0.000, 0.000, 0.230)
Cd (0.500, 0.500, 0.500)
W (0.500, 0.500, 0.000)



Record 8
DFT (meta-GGA SCAN) results for CdOs2W at its PBEsol-relaxed geometry.

Results
* density of states at the Fermi level: 4.51 states/eV/f.u.
* V: 15.51 Å³/atom
* electronic total energy: -60.0874 eV per atom

Lattice parameters (Å, degrees): 4.443 4.443 4.443 60.00 60.00 60.00
Atoms (fractional coordinates):
Os (0.250, 0.250, 0.250)
Os (0.000, 0.000, 0.000)
W (0.750, 0.750, 0.750)
Cd (0.500, 0.500, 0.500)



Record 9
DFT (meta-GGA SCAN) results for CdOsW2 at its PBEsol-relaxed geometry.

Results
* density of states at the Fermi level: 1.49 states/eV/f.u.
* V: 16.13 Å³/atom
* electronic total energy: -60.0244 eV per atom

Lattice parameters (Å, degrees): 2.801 2.801 9.633 81.64 81.64 60.00
Atoms (fractional coordinates):
Os (0.256, 0.256, 0.233)
W (0.746, 0.746, 0.762)
W (0.996, 0.996, 0.013)
Cd (0.502, 0.502, 0.493)



Record 10
DFT (meta-GGA SCAN) results for YCdOs2 at its PBEsol-relaxed geometry.

Results
* density of states at the Fermi level: 3.95 states/eV/f.u.
* V: 17.52 Å³/atom
* electronic total energy: -49.9846 eV per atom

Lattice parameters (Å, degrees): 3.137 4.826 5.452 116.27 106.72 90.00
Atoms (fractional coordinates):
Cd (0.000, 0.500, 0.000)
Os (0.250, 0.250, 0.501)
Os (0.750, 0.750, 0.499)
Y (0.500, 0.000, 0.000)



Record 11
DFT (meta-GGA SCAN) results for YCdOs2 at its PBEsol-relaxed geometry.

Results
* density of states at the Fermi level: 3.14 states/eV/f.u.
* V: 17.94 Å³/atom
* electronic total energy: -50.1095 eV per atom

Lattice parameters (Å, degrees): 2.980 4.954 5.199 100.81 90.00 107.51
Atoms (fractional coordinates):
Y (0.000, 0.000, 0.500)
Os (0.754, 0.507, 0.794)
Os (0.246, 0.493, 0.206)
Cd (0.500, 0.000, 0.000)



Record 12
DFT (meta-GGA SCAN) results for YCdOs2 at its PBEsol-relaxed geometry.

Results
* density of states at the Fermi level: 3.56 states/eV/f.u.
* V: 17.52 Å³/atom
* electronic total energy: -50.0494 eV per atom

Lattice parameters (Å, degrees): 2.824 4.722 5.281 90.00 95.69 90.00
Atoms (fractional coordinates):
Cd (0.000, 0.500, 0.500)
Os (0.785, 0.000, 0.723)
Os (0.215, 0.000, 0.277)
Y (0.500, 0.500, 0.000)



Q: Number 1 is which compound?
A: CdOsW